No. 1
First-principles (meta-GGA SCAN) data for a PBEsol-optimized structure of TaBe2Ni, as listed in Alexandria.

Cell lengths 4.8769, 4.8769, 4.8769 Å; angles 149.34, 126.39, 63.03 degrees
Sites, in units of the cell vectors:
Ta 0.0000 0.0000 0.0000
Be 0.2766 0.7766 0.5000
Be 0.7234 0.2234 0.5000
Ni 0.5000 0.5000 0.0000

Results
- relative energy among the computed polymorphs (kJ/mol of formula units) = 123.3
- total energy (eV per atom) = -22.82
- ΔH_f (0 K) (eV/atom) = 0.0507
- magnetic moment (μB per formula unit) = 0.00

***

No. 2
First-principles (meta-GGA SCAN) data for a PBEsol-optimized structure of Ta6Be15Ni8, as listed in Alexandria.

Cell lengths 7.4870, 7.4870, 7.4870 Å; angles 60.00, 60.00, 60.00 degrees
Sites, in units of the cell vectors:
Ta 0.2031 0.2031 0.7969
Ta 0.2031 0.7969 0.2031
Ta 0.2031 0.7969 0.7969
Ta 0.7969 0.2031 0.2031
Ta 0.7969 0.2031 0.7969
Ta 0.7969 0.7969 0.2031
Be 0.0000 0.0000 0.5000
Be 0.0000 0.5000 0.0000
Be 0.0000 0.5000 0.5000
Be 0.1732 0.1732 0.1732
Be 0.1732 0.1732 0.4803
Be 0.1732 0.4803 0.1732
Be 0.4803 0.1732 0.1732
Be 0.5000 0.0000 0.0000
Be 0.5000 0.0000 0.5000
Be 0.5000 0.5000 0.0000
Be 0.5000 0.5000 0.5000
Be 0.5197 0.8268 0.8268
Be 0.8268 0.5197 0.8268
Be 0.8268 0.8268 0.5197
Be 0.8268 0.8268 0.8268
Ni 0.1330 0.6223 0.6223
Ni 0.3777 0.3777 0.3777
Ni 0.3777 0.3777 0.8670
Ni 0.3777 0.8670 0.3777
Ni 0.6223 0.1330 0.6223
Ni 0.6223 0.6223 0.1330
Ni 0.6223 0.6223 0.6223
Ni 0.8670 0.3777 0.3777

Results
- total energy (eV per atom) = -20.93
- ΔH_f (0 K) (eV/atom) = -0.4451
- magnetic moment (μB per formula unit) = 0.00

***

No. 3
First-principles (meta-GGA SCAN) data for a PBEsol-optimized structure of BeTcNi, as listed in Alexandria.

Cell lengths 5.0282, 5.0282, 5.0282 Å; angles 150.01, 150.01, 42.93 degrees
Sites, in units of the cell vectors:
Be 0.0000 0.0000 0.0000
Tc 0.3238 0.3238 0.0000
Ni 0.6322 0.6322 0.0000

Results
- total energy (eV per atom) = -18.72
- ΔH_f (0 K) (eV/atom) = -0.1954
- magnetic moment (μB per formula unit) = 0.00

***

No. 4
First-principles (meta-GGA SCAN) data for a PBEsol-optimized structure of Be2TcNi, as listed in Alexandria.

Cell lengths 4.3997, 4.3997, 2.4238 Å; angles 100.88, 100.88, 110.38 degrees
Sites, in units of the cell vectors:
Be 0.0000 0.5000 0.0000
Be 0.5000 0.0000 0.0000
Tc 0.0000 0.0000 0.5000
Ni 0.5000 0.5000 0.5000

Results
- total energy (eV per atom) = -15.14
- ΔH_f (0 K) (eV/atom) = -0.1578
- magnetic moment (μB per formula unit) = 0.00

***

No. 5
First-principles (meta-GGA SCAN) data for a PBEsol-optimized structure of BeTcNi2, as listed in Alexandria.

Cell lengths 2.5436, 2.5436, 6.4038 Å; angles 90.00, 90.00, 90.00 degrees
Sites, in units of the cell vectors:
Be 0.0000 0.0000 0.0000
Tc 0.0000 0.0000 0.5000
Ni 0.5000 0.5000 0.2076
Ni 0.5000 0.5000 0.7924

Results
- total energy (eV per atom) = -18.19
- ΔH_f (0 K) (eV/atom) = -0.2546
- magnetic moment (μB per formula unit) = 0.05

***

No. 6
First-principles (meta-GGA SCAN) data for a PBEsol-optimized structure of BeTc2Ni, as listed in Alexandria.

Cell lengths 8.3594, 8.3594, 8.3594 Å; angles 17.90, 17.90, 17.90 degrees
Sites, in units of the cell vectors:
Be 0.0000 0.0000 0.0000
Tc 0.2513 0.2513 0.2513
Tc 0.7487 0.7487 0.7487
Ni 0.5000 0.5000 0.5000

Results
- total energy (eV per atom) = -22.55
- ΔH_f (0 K) (eV/atom) = 0.1136
- magnetic moment (μB per formula unit) = 0.00

***

No. 7
First-principles (meta-GGA SCAN) data for a PBEsol-optimized structure of BeTc3Ni, as listed in Alexandria.

Cell lengths 4.3158, 4.3158, 4.3158 Å; angles 90.00, 90.00, 90.00 degrees
Sites, in units of the cell vectors:
Be 0.0000 0.0000 0.0000
Tc 0.0000 0.5000 0.5000
Tc 0.5000 0.0000 0.5000
Tc 0.5000 0.5000 0.0000
Ni 0.5000 0.5000 0.5000

Results
- total energy (eV per atom) = -23.40
- ΔH_f (0 K) (eV/atom) = 1.7441
- magnetic moment (μB per formula unit) = 0.00

***

No. 8
First-principles (meta-GGA SCAN) data for a PBEsol-optimized structure of Be3TcNi, as listed in Alexandria.

Cell lengths 3.7670, 3.7670, 3.7670 Å; angles 90.00, 90.00, 90.00 degrees
Sites, in units of the cell vectors:
Be 0.0000 0.0000 0.5000
Be 0.0000 0.5000 0.0000
Be 0.5000 0.0000 0.0000
Tc 0.5000 0.5000 0.5000
Ni 0.0000 0.0000 0.0000

Results
- total energy (eV per atom) = -12.44
- ΔH_f (0 K) (eV/atom) = 0.4148
- magnetic moment (μB per formula unit) = 0.87

***

No. 9
First-principles (meta-GGA SCAN) data for a PBEsol-optimized structure of BeTc2Ni, as listed in Alexandria.

Cell lengths 4.3132, 4.3132, 2.5144 Å; angles 90.00, 90.00, 90.00 degrees
Sites, in units of the cell vectors:
Be 0.0000 0.0000 0.0000
Tc 0.0000 0.5000 0.5000
Tc 0.5000 0.0000 0.5000
Ni 0.5000 0.5000 0.0000

Results
- total energy (eV per atom) = -22.61
- ΔH_f (0 K) (eV/atom) = 0.0534
- magnetic moment (μB per formula unit) = 0.00

***

No. 10
First-principles (meta-GGA SCAN) data for a PBEsol-optimized structure of BeNiTe2, as listed in Alexandria.

Cell lengths 4.9886, 4.9886, 4.9886 Å; angles 137.57, 109.20, 86.16 degrees
Sites, in units of the cell vectors:
Be 0.0000 0.0000 0.0000
Ni 0.5000 0.5000 0.0000
Te 0.2422 0.7422 0.5000
Te 0.7578 0.2578 0.5000

Results
- total energy (eV per atom) = -23.29
- ΔE_f (raw) (meV/atom) = 467
- magnetic moment (μB per formula unit) = 0.00

***

No. 11
First-principles (meta-GGA SCAN) data for a PBEsol-optimized structure of BeNiTe2, as listed in Alexandria.

Cell lengths 3.3146, 3.3146, 7.0385 Å; angles 90.00, 90.00, 90.00 degrees
Sites, in units of the cell vectors:
Be 0.0000 0.0000 0.0000
Ni 0.5000 0.5000 0.1569
Te 0.0000 0.0000 0.3405
Te 0.5000 0.5000 0.8087

Results
- total energy (eV per atom) = -23.73
- ΔE_f (raw) (meV/atom) = 30
- magnetic moment (μB per formula unit) = 0.00

***

No. 12
First-principles (meta-GGA SCAN) data for a PBEsol-optimized structure of BeNi3Te, as listed in Alexandria.

Cell lengths 3.9756, 3.9756, 3.9756 Å; angles 90.00, 90.00, 90.00 degrees
Sites, in units of the cell vectors:
Be 0.0000 0.0000 0.0000
Ni 0.0000 0.0000 0.5000
Ni 0.0000 0.5000 0.0000
Ni 0.5000 0.0000 0.0000
Te 0.5000 0.5000 0.5000

Results
- total energy (eV per atom) = -17.81
- ΔE_f (raw) (meV/atom) = 218
- magnetic moment (μB per formula unit) = 0.00